Compound: Os2AuCl
Source: the Alexandria database
Functional: PBE-GGA
Structure: optimized geometry

abc: 5.4066 5.4066 5.4066
angles: 149.98 126.30 62.75
With the nearest neighbours (Å) after each atom.
Element x y z (fractional)
Os: 0.0231 0.0231 0.0000  2 Cl 2.52, 2 Os 2.80
Os: 0.4769 0.4769 0.0000  2 Cl 2.52, 2 Os 2.80
Cl: 0.2500 0.7500 0.5000  4 Os 2.52, 2 Cl 2.80, 4 Au 2.81
Au: 0.7500 0.2500 0.5000  2 Au 2.80, 4 Cl 2.81, 4 Os 2.88

Summary:
total magnetization: 0.00 μB/cell
crystal system: orthorhombic
formation energy (no corrections): 433 kJ/mol of formula units
VASP energy: -5.774 eV per atom
energy above the lowest structure with this stoichiometry: 76.7 kJ/mol of atoms
DOS(E_F): 4.348 states/eV/cell
density: 16.12 g cm⁻³